Density functional theory data (GGA-PBE) for LiPrP2Pt5 after structural relaxation.

N(E_F)   0.3956 states/eV per atom
Electronic total energy   -53.70 eV for the cell shown

Unit cell a=4.149 b=4.149 c=9.686 alpha=90.00 beta=90.00 gamma=90.00
Space group P4/mmm (No. 123)
Inequivalent atoms, fractional coordinates:
Li: 0.000 0.000 0.000 x1
Pr: 0.000 0.000 0.500 x1
P: 0.500 0.500 0.265 x2
Pt: 0.000 0.500 0.160 x4
Pt: 0.500 0.500 0.500 x1

---

Density functional theory data (GGA-PBE) for AcBRh2 after structural relaxation.

N(E_F)   0.3550 states/eV per atom
Energy above the most stable polymorph in this dataset   0 meV/atom

Unit cell a=6.076 b=4.218 c=11.090 alpha=90.00 beta=90.00 gamma=90.00
Space group Pnma (No. 62)
Inequivalent atoms, fractional coordinates:
Ac: 0.127 0.250 0.119 x4
B: 0.008 0.750 0.384 x4
Rh: 0.106 0.250 0.435 x4
Rh: 0.186 0.250 0.785 x4